[1]
Entry from Alexandria: crystalline FeTcW2 at its relaxed geometry (PBEsol).

As for the formation enthalpy at 0 K: 282 meV per atom. Its energy is -93.4 eV per cell. For the offset from the most stable computed form, the calculation gives 155.4 meV/atom.

The space group is C2/m (No. 12) and the conventional cell measures 8.912, 2.748 and 4.696 Å, with angles of 90.00, 101.38 and 90.00 degrees. The inequivalent atoms are Fe at (0.000, 0.000, 0.000), Tc at (0.000, 0.500, 0.500) and W at (0.239, 0.500, 0.241).

***

[2]
Entry from Alexandria: crystalline CrBiN2F at its relaxed geometry (PBEsol).

Its energy is -35.2 eV per cell. The calculation puts the uncorrected formation energy at -0.330 eV/atom.

The space group is P4/mmm (No. 123) and the conventional cell measures 3.908, 3.908 and 3.794 Å, with angles of 90.00, 90.00 and 90.00 degrees. The inequivalent atoms are Cr at (0.000, 0.000, 0.000), Bi at (0.500, 0.500, 0.500), N at (0.000, 0.500, 0.000) and F at (0.000, 0.000, 0.500).